CrS2NO8 after structural relaxation. Source: the Alexandria database, functional PBE with a Hubbard U.

Computed properties:
DOS at the Fermi energy	12.5	states/eV/cell
size of the total moment	4.93	μB per cell
E_tot	-72.3	eV per cell
space-group type	P321

The structure in POSCAR format:
```
CrS2NO8
1.0
-4.440 0.069 -2.517
3.949 -2.645 -1.862
-2.533 -6.797 4.282
Cr S N O
1 2 1 8
direct
0.000 0.000 0.000
0.333 0.667 0.204
0.667 0.333 0.796
0.000 0.000 0.500
0.132 0.355 0.143
0.645 0.777 0.143
0.355 0.132 0.857
0.223 0.868 0.143
0.777 0.645 0.857
0.868 0.223 0.857
0.333 0.667 0.376
0.667 0.333 0.624
```